The following is a DFT calculation (GGA-PBE) of crystalline Ac2Pu3Ge4 at its relaxed geometry.

Cell lengths 8.1188, 16.3155, 7.0702 Å; angles 90.00, 90.00, 90.00 degrees
With the nearest neighbours (Å) after each atom.
Space group Cmce (No. 64)
Unique sites:
Ac 0.0000 0.2403 0.0092 [8 per cell]  5 Ge 3.26-3.52, 2 Ac 3.55
Pu 0.0000 0.0000 0.0000 [4 per cell]  4 Pu 2.92, 2 Ge 3.07
Pu 0.2500 0.0695 0.7500 [8 per cell]  2 Pu 2.92, 5 Ge 3.16-3.19
Ge 0.0000 0.0651 0.4072 [8 per cell]  3 Ge 2.50-2.51
Ge 0.2500 0.1241 0.2500 [8 per cell]  2 Ge 2.51

Computed properties:
The value obtained for the calculated volume is 936.54 Å³/cell. The energy is -284.635 eV/cell. As for the density of states at the Fermi level: 97.4 states/eV per cell. Its energy relative to the elements is -0.164 eV/atom.

***

The following is a DFT calculation (GGA-PBE) of crystalline NdSm5Al2 at its relaxed geometry.

Cell lengths 3.6803, 10.5116, 12.4222 Å; angles 90.00, 90.00, 90.00 degrees
With the nearest neighbours (Å) after each atom.
Space group Immm (No. 71)
Unique sites:
Nd 0.0000 0.0000 0.0000 [2 per cell]  4 Al 3.41, 2 Nd 3.68
Sm 0.0000 0.2194 0.3593 [8 per cell]  3 Al 3.15-3.35, 5 Sm 3.34-3.50
Sm 0.0000 0.5000 0.0000 [2 per cell]  2 Al 3.34, 10 Sm 3.43-3.68
Al 0.0000 0.5000 0.2691 [4 per cell]  7 Sm 3.15-3.35, 2 Nd 3.41

Computed properties:
The value obtained for the calculated volume is 480.57 Å³/cell. The energy is -72.916 eV/cell. As for the density of states at the Fermi level: 22.4 states/eV per cell. Its energy relative to the elements is -0.076 eV/atom.

***

The following is a DFT calculation (GGA-PBE) of crystalline Sc2Fe2W at its relaxed geometry.

Cell lengths 6.1396, 6.1396, 4.3626 Å; angles 90.00, 90.00, 90.00 degrees
With the nearest neighbours (Å) after each atom.
Space group P4/mbm (No. 127)
Unique sites:
Sc 0.1816 0.3184 0.0000 [4 per cell]  6 Fe 2.76-2.90
Fe 0.1229 0.6229 0.5000 [4 per cell]  1 Fe 2.13
W 0.0000 0.0000 0.5000 [2 per cell]  4 Fe 2.44

Computed properties:
The value obtained for the calculated volume is 164.45 Å³/cell. The energy is -85.246 eV/cell. As for the density of states at the Fermi level: 7.3 states/eV per cell. Its energy relative to the elements is -0.016 eV/atom.

***

- Which formula does entry 1 have?
  Ac2Pu3Ge4

***

Copy entry 1 word for word.
The following is a DFT calculation (GGA-PBE) of crystalline Ac2Pu3Ge4 at its relaxed geometry.

Cell lengths 8.1188, 16.3155, 7.0702 Å; angles 90.00, 90.00, 90.00 degrees
With the nearest neighbours (Å) after each atom.
Space group Cmce (No. 64)
Unique sites:
Ac 0.0000 0.2403 0.0092 [8 per cell]  5 Ge 3.26-3.52, 2 Ac 3.55
Pu 0.0000 0.0000 0.0000 [4 per cell]  4 Pu 2.92, 2 Ge 3.07
Pu 0.2500 0.0695 0.7500 [8 per cell]  2 Pu 2.92, 5 Ge 3.16-3.19
Ge 0.0000 0.0651 0.4072 [8 per cell]  3 Ge 2.50-2.51
Ge 0.2500 0.1241 0.2500 [8 per cell]  2 Ge 2.51

Computed properties:
The value obtained for the calculated volume is 936.54 Å³/cell. The energy is -284.635 eV/cell. As for the density of states at the Fermi level: 97.4 states/eV per cell. Its energy relative to the elements is -0.164 eV/atom.

***

- Which of these has the highest energy relative to the elements?
  Sc2Fe2W